[1]
Compound: TlRu3Pt
Source: Alexandria
Functional: meta-GGA SCAN
Structure: PBEsol geometry

Cell and atoms, written as CIF:
```
data_TlRu3Pt
_chemical_formula_sum 'Tl1 Ru3 Pt1'
_space_group_name_H-M_alt 'P 1'
_space_group_IT_number 1
_cell_length_a 4.812
_cell_length_b 4.812
_cell_length_c 4.812
_cell_angle_alpha 90.00
_cell_angle_beta 90.00
_cell_angle_gamma 90.00
loop_
_space_group_symop_operation_xyz
'x,y,z'
loop_
_atom_site_label
_atom_site_type_symbol
_atom_site_fract_x
_atom_site_fract_y
_atom_site_fract_z
_atom_site_occupancy
Tl1 Tl 0.000 0.000 0.000 1
Ru1 Ru 0.000 0.000 0.500 1
Ru2 Ru 0.000 0.500 0.000 1
Ru3 Ru 0.500 0.000 0.000 1
Pt1 Pt 0.500 0.500 0.500 1
```

Properties
- E_tot (Ry per atom) = -3.438
- N(E_F) (states/eV per cell) = 4.1
- DFT formation energy (kJ/mol of formula units) = 1267

---

[2]
Compound: RuPtW
Source: Alexandria
Functional: meta-GGA SCAN
Structure: PBEsol geometry

Cell and atoms, written as CIF:
```
data_RuPtW
_chemical_formula_sum 'Ru1 Pt1 W1'
_space_group_name_H-M_alt 'P 1'
_space_group_IT_number 1
_cell_length_a 2.747
_cell_length_b 2.747
_cell_length_c 6.731
_cell_angle_alpha 90.00
_cell_angle_beta 90.00
_cell_angle_gamma 120.00
loop_
_space_group_symop_operation_xyz
'x,y,z'
loop_
_atom_site_label
_atom_site_type_symbol
_atom_site_fract_x
_atom_site_fract_y
_atom_site_fract_z
_atom_site_occupancy
Ru1 Ru 0.000 0.000 0.000 1
Pt1 Pt 0.667 0.333 0.345 1
W1 W 0.333 0.667 0.684 1
```

Properties
- offset from the most stable computed form (meV/atom) = 134
- E_tot (Ry per atom) = -4.282
- N(E_F) (states/eV per cell) = 2.5
- DFT formation energy (kJ/mol of formula units) = -6

---

[3]
Compound: Ru3PtW
Source: Alexandria
Functional: meta-GGA SCAN
Structure: PBEsol geometry

Cell and atoms, written as CIF:
```
data_Ru3PtW
_chemical_formula_sum 'Ru3 Pt1 W1'
_space_group_name_H-M_alt 'P 1'
_space_group_IT_number 1
_cell_length_a 4.561
_cell_length_b 4.561
_cell_length_c 4.561
_cell_angle_alpha 90.00
_cell_angle_beta 90.00
_cell_angle_gamma 90.00
loop_
_space_group_symop_operation_xyz
'x,y,z'
loop_
_atom_site_label
_atom_site_type_symbol
_atom_site_fract_x
_atom_site_fract_y
_atom_site_fract_z
_atom_site_occupancy
Ru1 Ru 0.000 0.000 0.500 1
Ru2 Ru 0.000 0.500 0.000 1
Ru3 Ru 0.500 0.000 0.000 1
Pt1 Pt 0.000 0.000 0.000 1
W1 W 0.500 0.500 0.500 1
```

Properties
- E_tot (Ry per atom) = -3.411
- N(E_F) (states/eV per cell) = 6.8
- DFT formation energy (kJ/mol of formula units) = 1189

---

[4]
Compound: RuPtW
Source: Alexandria
Functional: meta-GGA SCAN
Structure: PBEsol geometry

Cell and atoms, written as CIF:
```
data_RuPtW
_chemical_formula_sum 'Ru1 Pt1 W1'
_space_group_name_H-M_alt 'P 1'
_space_group_IT_number 1
_cell_length_a 6.115
_cell_length_b 6.115
_cell_length_c 6.115
_cell_angle_alpha 154.00
_cell_angle_beta 154.00
_cell_angle_gamma 37.10
loop_
_space_group_symop_operation_xyz
'x,y,z'
loop_
_atom_site_label
_atom_site_type_symbol
_atom_site_fract_x
_atom_site_fract_y
_atom_site_fract_z
_atom_site_occupancy
Ru1 Ru 0.000 0.000 0.000 1
Pt1 Pt 0.675 0.675 0.000 1
W1 W 0.345 0.345 0.000 1
```

Properties
- offset from the most stable computed form (meV/atom) = 23
- E_tot (Ry per atom) = -4.290
- N(E_F) (states/eV per cell) = 1.9
- DFT formation energy (kJ/mol of formula units) = -38

---

[5]
Compound: RuPtW
Source: Alexandria
Functional: meta-GGA SCAN
Structure: PBEsol geometry

Cell and atoms, written as CIF:
```
data_RuPtW
_chemical_formula_sum 'Ru1 Pt1 W1'
_space_group_name_H-M_alt 'P 1'
_space_group_IT_number 1
_cell_length_a 4.771
_cell_length_b 4.771
_cell_length_c 4.771
_cell_angle_alpha 146.90
_cell_angle_beta 132.03
_cell_angle_gamma 59.52
loop_
_space_group_symop_operation_xyz
'x,y,z'
loop_
_atom_site_label
_atom_site_type_symbol
_atom_site_fract_x
_atom_site_fract_y
_atom_site_fract_z
_atom_site_occupancy
Ru1 Ru 0.000 0.000 0.000 1
Pt1 Pt 0.669 0.669 0.000 1
W1 W 0.341 0.341 0.000 1
```

Properties
- offset from the most stable computed form (meV/atom) = 0
- E_tot (Ry per atom) = -4.292
- N(E_F) (states/eV per cell) = 2.4
- DFT formation energy (kJ/mol of formula units) = -45

---

[6]
Compound: Y3RuPt
Source: Alexandria
Functional: meta-GGA SCAN
Structure: PBEsol geometry

Cell and atoms, written as CIF:
```
data_Y3RuPt
_chemical_formula_sum 'Y3 Ru1 Pt1'
_space_group_name_H-M_alt 'P 1'
_space_group_IT_number 1
_cell_length_a 5.106
_cell_length_b 5.106
_cell_length_c 5.106
_cell_angle_alpha 90.00
_cell_angle_beta 90.00
_cell_angle_gamma 90.00
loop_
_space_group_symop_operation_xyz
'x,y,z'
loop_
_atom_site_label
_atom_site_type_symbol
_atom_site_fract_x
_atom_site_fract_y
_atom_site_fract_z
_atom_site_occupancy
Y1 Y 0.000 0.000 0.500 1
Y2 Y 0.000 0.500 0.000 1
Y3 Y 0.500 0.000 0.000 1
Ru1 Ru 0.000 0.000 0.000 1
Pt1 Pt 0.500 0.500 0.500 1
```

Properties
- E_tot (Ry per atom) = -2.785
- N(E_F) (states/eV per cell) = 3.0
- DFT formation energy (kJ/mol of formula units) = -85